Entry 1:
Compound: Tb5Pm3Ho4
Source: Alexandria via LeMat-Bulk
Functional: PBE
Structure: optimized geometry

## Properties
As for the total energy: -4.627 eV/atom. The value obtained for the volume is 32.1 Å³ per atom. The energy above the most stable polymorph in this dataset comes out at 0.0000 eV per atom. The energy of formation from the pure elements comes out at 0.0154 eV per atom. Its density of states at the Fermi level is 1.274 states/eV/atom.

Cell: 7.1384 11.2892 12.8694 Å, 151.29 56.36 129.27°
Atoms (fractional coordinates):
Tb (0.3336, 0.6680, 0.8344)
Tb (0.2511, 0.4987, 0.9989)
Tb (0.6664, 0.3320, 0.1656)
Tb (0.5000, 0.0000, 0.5000)
Tb (0.7489, 0.5013, 0.0011)
Pm (0.4149, 0.8319, 0.6660)
Pm (0.5851, 0.1681, 0.3340)
Pm (0.0000, 0.0000, 0.5000)
Ho (0.9172, 0.8338, 0.6676)
Ho (0.1664, 0.3327, 0.1662)
Ho (0.8336, 0.6673, 0.8338)
Ho (0.0828, 0.1662, 0.3324)

Entry 2:
Compound: Tb4PmHo10
Source: Alexandria via LeMat-Bulk
Functional: PBE
Structure: optimized geometry

## Properties
As for the total energy: -4.132 eV/atom. The value obtained for the volume is 34.3 Å³ per atom. The energy of formation from the pure elements comes out at 0.4708 eV per atom. Its density of states at the Fermi level is 1.885 states/eV/atom.

Cell: 10.7860 8.7596 8.7596 Å, 67.73 52.00 52.00°
Atoms (fractional coordinates):
Ho (0.2907, 0.6578, 0.0976)
Ho (0.9539, 0.6578, 0.0976)
Ho (0.0461, 0.3422, 0.9024)
Ho (0.7500, 0.5000, 0.5000)
Ho (0.3882, 0.9024, 0.6578)
Ho (0.2500, 0.5000, 0.5000)
Ho (0.6118, 0.0976, 0.3422)
Ho (0.9485, 0.0976, 0.3422)
Ho (0.7093, 0.3422, 0.9024)
Ho (0.0515, 0.9024, 0.6578)
Pm (0.0000, 0.0000, 0.0000)
Tb (0.4451, 0.3444, 0.7653)
Tb (0.7895, 0.7653, 0.6556)
Tb (0.5549, 0.6556, 0.2347)
Tb (0.2105, 0.2347, 0.3444)

Entry 3:
Compound: Tb2PmHo7
Source: Alexandria via LeMat-Bulk
Functional: PBE
Structure: optimized geometry

## Properties
As for the total energy: -3.902 eV/atom. The value obtained for the volume is 39.0 Å³ per atom. The energy above the most stable polymorph in this dataset comes out at 0.6836 eV per atom. The energy of formation from the pure elements comes out at 0.7034 eV per atom. Its density of states at the Fermi level is 1.519 states/eV/atom.

Cell: 5.4908 9.2683 9.2683 Å, 124.23 90.00 90.00°
Atoms (fractional coordinates):
Pm (0.0000, 0.0000, 0.0000)
Ho (0.5000, 0.9364, 0.7101)
Ho (0.0000, 0.2095, 0.7905)
Ho (0.5000, 0.2899, 0.0636)
Ho (0.5000, 0.7101, 0.9364)
Ho (0.0000, 0.7905, 0.2095)
Ho (0.5000, 0.0636, 0.2899)
Ho (0.5000, 0.5000, 0.5000)
Tb (0.5000, 0.7028, 0.2972)
Tb (0.5000, 0.2972, 0.7028)